This record from Alexandria describes In2SbAs after structural relaxation. The functional is PBE-GGA.

The structure belongs to space group Cmmm (No. 65); the cell edges are 4.371, 4.783 and 9.795 Å and the angles 90.00°, 90.00° and 90.00°. Symmetry generates all atoms from In at (0.000, 0.000, 0.227), Sb at (0.000, 0.500, 0.500) and As at (0.000, 0.500, 0.000).

As for the excess energy over the best structure of this formula in the dataset: 319 meV per atom.

***

This record from Alexandria describes InSb4As after structural relaxation. The functional is PBE-GGA.

The structure belongs to space group F-43m (No. 216); the cell edges are 8.816, 8.816 and 8.816 Å and the angles 90.00°, 90.00° and 90.00°. Symmetry generates all atoms from In at (0.000, 0.000, 0.000), Sb at (0.124, 0.124, 0.624) and As at (0.250, 0.250, 0.250).

***

This record from Alexandria describes In2SbAs after structural relaxation. The functional is PBE-GGA.

The structure belongs to space group Immm (No. 71); the cell edges are 3.966, 4.361 and 12.653 Å and the angles 90.00°, 90.00° and 90.00°. Symmetry generates all atoms from In at (0.000, 0.000, 0.193), Sb at (0.000, 0.500, 0.000) and As at (0.000, 0.500, 0.500).

As for the excess energy over the best structure of this formula in the dataset: 256 meV per atom.

***

This record from Alexandria describes InSb2As after structural relaxation. The functional is PBE-GGA.

The structure belongs to space group P4mm (No. 99); the cell edges are 4.172, 4.172 and 6.477 Å and the angles 90.00°, 90.00° and 90.00°. Symmetry generates all atoms from In at (0.000, 0.000, 0.000), Sb at (0.000, 0.000, 0.457), Sb at (0.500, 0.500, 0.909) and As at (0.500, 0.500, 0.498).

As for the excess energy over the best structure of this formula in the dataset: 0 meV per atom.

***

This record from Alexandria describes InSb2As after structural relaxation. The functional is PBE-GGA.

The structure belongs to space group Pmmm (No. 47); the cell edges are 3.786, 5.052 and 5.247 Å and the angles 90.00°, 90.00° and 90.00°. Symmetry generates all atoms from In at (0.000, 0.000, 0.000), Sb at (0.000, 0.500, 0.500), Sb at (0.500, 0.500, 0.000) and As at (0.500, 0.000, 0.500).

As for the excess energy over the best structure of this formula in the dataset: 201 meV per atom.

***

This record from Alexandria describes InSb2As after structural relaxation. The functional is PBE-GGA.

The structure belongs to space group Cmmm (No. 65); the cell edges are 3.813, 5.307 and 10.119 Å and the angles 90.00°, 90.00° and 90.00°. Symmetry generates all atoms from In at (0.000, 0.000, 0.000), Sb at (0.000, 0.500, 0.278) and As at (0.000, 0.000, 0.500).

As for the excess energy over the best structure of this formula in the dataset: 202 meV per atom.

***

This record from Alexandria describes InSb2As after structural relaxation. The functional is PBE-GGA.

The structure belongs to space group Cmm2 (No. 35); the cell edges are 4.016, 5.320 and 9.751 Å and the angles 90.00°, 90.00° and 90.00°. Symmetry generates all atoms from In at (0.000, 0.000, 0.000), Sb at (0.000, 0.000, 0.450), Sb at (0.000, 0.500, 0.735) and As at (0.000, 0.500, 0.248).

As for the excess energy over the best structure of this formula in the dataset: 192 meV per atom.

***

This record from Alexandria describes InSb3As after structural relaxation. The functional is PBE-GGA.

The structure belongs to space group Pm-3m (No. 221); the cell edges are 5.540, 5.540 and 5.540 Å and the angles 90.00°, 90.00° and 90.00°. Symmetry generates all atoms from In at (0.000, 0.000, 0.000), Sb at (0.000, 0.000, 0.500) and As at (0.500, 0.500, 0.500).

As for the excess energy over the best structure of this formula in the dataset: 498 meV per atom.

***

In order of appearance, electronic total energy = -3.415 -3.572 -3.478 -3.878 -3.677 -3.675 -3.686 -2.925 eV/atom.
In order of appearance, raw formation energy = 0.147 0.407 0.084 0.030 0.231 0.233 0.222 1.026 eV/atom.